BaOs2Se PBE optimized geometry; DFT total energy = -5.775 eV/atom; magnetic moment = 0.00 μB/f.u.; uncorrected formation energy = 1.1915 eV per atom
1.0
-1.177 2.832 4.161
-3.848 0.329 -1.313
-0.984 -3.397 2.033
Se Os Ba
1 2 1
Cartesian
-2.513 1.580 1.424
-2.416 -1.534 0.360
0.000 0.000 0.000
-1.081 -0.282 3.097